Density functional theory data (PBE-GGA) for a relaxed structure of Ac2DyScBi4.

Geometry as CIF:
```
data_Ac2DyScBi4
_chemical_formula_sum 'Ac2 Dy1 Sc1 Bi4'
_symmetry_space_group_name_H-M 'P 1 2/m 1'
_symmetry_Int_Tables_number 10
_cell_length_a 7.9983
_cell_length_b 4.6433
_cell_length_c 8.0352
_cell_angle_alpha 90.00
_cell_angle_beta 109.57
_cell_angle_gamma 90.00
loop_
_symmetry_equiv_pos_as_xyz
'x,y,z'
'-x,-y,-z'
'-x,y,-z'
'x,-y,z'
loop_
_atom_site_label
_atom_site_type_symbol
_atom_site_fract_x
_atom_site_fract_y
_atom_site_fract_z
_atom_site_occupancy
Ac1 Ac 0.0000 0.0000 0.0000 1
Ac2 Ac 0.0000 0.5000 0.5000 1
Dy1 Dy 0.5000 0.0000 0.5000 1
Sc1 Sc 0.5000 0.5000 0.0000 1
Bi1 Bi 0.2780 0.5000 0.2532 1
Bi2 Bi 0.2826 0.0000 0.7671 1
```

Density functional theory data (PBE-GGA) for a relaxed structure of AcDyBiSe.

Output
The calculation puts the formation energy without anion corrections at -1172 meV/atom.

Geometry as CIF:
```
data_AcDyBiSe
_chemical_formula_sum 'Ac6 Dy6 Bi6 Se6'
_symmetry_space_group_name_H-M 'R -3 m'
_symmetry_Int_Tables_number 166
_symmetry_space_group_name_Hall '-R 3 2"'
_cell_length_a 5.3416
_cell_length_b 5.3416
_cell_length_c 34.1179
_cell_angle_alpha 90.00
_cell_angle_beta 90.00
_cell_angle_gamma 120.00
loop_
_atom_site_label
_atom_site_type_symbol
_atom_site_fract_x
_atom_site_fract_y
_atom_site_fract_z
_atom_site_occupancy
Ac1 Ac 0.0000 0.0000 0.1173 1
Dy1 Dy 0.0000 0.0000 0.2949 1
Bi1 Bi 0.0000 0.0000 0.3882 1
Se1 Se 0.0000 0.0000 0.2073 1
```

Density functional theory data (PBE-GGA) for a relaxed structure of Ac2SmDyBi4.

Geometry as CIF:
```
data_Ac2SmDyBi4
_chemical_formula_sum 'Ac2 Sm1 Dy1 Bi4'
_symmetry_space_group_name_H-M 'P 1 2/m 1'
_symmetry_Int_Tables_number 10
_cell_length_a 8.1379
_cell_length_b 4.7042
_cell_length_c 8.1429
_cell_angle_alpha 90.00
_cell_angle_beta 109.47
_cell_angle_gamma 90.00
loop_
_symmetry_equiv_pos_as_xyz
'x,y,z'
'-x,-y,-z'
'-x,y,-z'
'x,-y,z'
loop_
_atom_site_label
_atom_site_type_symbol
_atom_site_fract_x
_atom_site_fract_y
_atom_site_fract_z
_atom_site_occupancy
Ac1 Ac 0.0000 0.0000 0.0000 1
Ac2 Ac 0.0000 0.5000 0.5000 1
Sm1 Sm 0.5000 0.0000 0.5000 1
Dy1 Dy 0.5000 0.5000 0.0000 1
Bi1 Bi 0.2696 0.5000 0.2541 1
Bi2 Bi 0.2713 0.0000 0.7595 1
```

Density functional theory data (PBE-GGA) for a relaxed structure of AcDyBiTe.

Output
The calculation puts the formation energy without anion corrections at -1071 meV/atom.

Geometry as CIF:
```
data_AcDyBiTe
_chemical_formula_sum 'Ac3 Dy3 Bi3 Te3'
_symmetry_space_group_name_H-M 'R 3 m'
_symmetry_Int_Tables_number 160
_symmetry_space_group_name_Hall 'R 3 -2"'
_cell_length_a 4.4863
_cell_length_b 4.4863
_cell_length_c 24.3670
_cell_angle_alpha 90.00
_cell_angle_beta 90.00
_cell_angle_gamma 120.00
loop_
_atom_site_label
_atom_site_type_symbol
_atom_site_fract_x
_atom_site_fract_y
_atom_site_fract_z
_atom_site_occupancy
Ac1 Ac 0.0000 0.0000 0.0000 1
Dy1 Dy 0.0000 0.0000 0.8257 1
Bi1 Bi 0.0000 0.0000 0.4197 1
Te1 Te 0.0000 0.0000 0.5736 1
```

Density functional theory data (PBE-GGA) for a relaxed structure of Ac2DyBi2Te2.

Output
The calculation puts the formation energy without anion corrections at -832 meV/atom.

Geometry as CIF:
```
data_Ac2DyBi2Te2
_chemical_formula_sum 'Ac4 Dy2 Bi4 Te4'
_symmetry_space_group_name_H-M 'I 4/m m m'
_symmetry_Int_Tables_number 139
_symmetry_space_group_name_Hall '-I 4 2'
_cell_length_a 5.8322
_cell_length_b 5.8322
_cell_length_c 16.7024
_cell_angle_alpha 90.00
_cell_angle_beta 90.00
_cell_angle_gamma 90.00
loop_
_atom_site_label
_atom_site_type_symbol
_atom_site_fract_x
_atom_site_fract_y
_atom_site_fract_z
_atom_site_occupancy
Ac1 Ac 0.0000 0.0000 0.1267 1
Dy1 Dy 0.0000 0.0000 0.5000 1
Bi1 Bi 0.0000 0.5000 0.0000 1
Te1 Te 0.0000 0.0000 0.3171 1
```

Density functional theory data (PBE-GGA) for a relaxed structure of Ac2DyThBi5.

Geometry as CIF:
```
data_Ac2DyThBi5
_chemical_formula_sum 'Ac2 Dy1 Th1 Bi5'
_symmetry_space_group_name_H-M 'P 4/m m m'
_symmetry_Int_Tables_number 123
_symmetry_space_group_name_Hall '-P 4 2'
_cell_length_a 5.7927
_cell_length_b 5.7927
_cell_length_c 12.0507
_cell_angle_alpha 90.00
_cell_angle_beta 90.00
_cell_angle_gamma 90.00
loop_
_atom_site_label
_atom_site_type_symbol
_atom_site_fract_x
_atom_site_fract_y
_atom_site_fract_z
_atom_site_occupancy
Ac1 Ac 0.0000 0.0000 0.2133 1
Dy1 Dy 0.5000 0.5000 0.5000 1
Th1 Th 0.5000 0.5000 0.0000 1
Bi1 Bi 0.0000 0.0000 0.5000 1
Bi2 Bi 0.0000 0.5000 0.0000 1
Bi3 Bi 0.5000 0.5000 0.2577 1
```

Density functional theory data (PBE-GGA) for a relaxed structure of AcDy2TmBi4.

Geometry as CIF:
```
data_AcDy2TmBi4
_chemical_formula_sum 'Ac1 Dy2 Tm1 Bi4'
_symmetry_space_group_name_H-M 'P 1 2/m 1'
_symmetry_Int_Tables_number 10
_cell_length_a 7.9158
_cell_length_b 4.5792
_cell_length_c 7.9252
_cell_angle_alpha 90.00
_cell_angle_beta 109.43
_cell_angle_gamma 90.00
loop_
_symmetry_equiv_pos_as_xyz
'x,y,z'
'-x,-y,-z'
'-x,y,-z'
'x,-y,z'
loop_
_atom_site_label
_atom_site_type_symbol
_atom_site_fract_x
_atom_site_fract_y
_atom_site_fract_z
_atom_site_occupancy
Ac1 Ac 0.0000 0.0000 0.0000 1
Dy1 Dy 0.0000 0.5000 0.5000 1
Dy2 Dy 0.5000 0.0000 0.5000 1
Tm1 Tm 0.5000 0.5000 0.0000 1
Bi1 Bi 0.2599 0.0000 0.7444 1
Bi2 Bi 0.2668 0.5000 0.2645 1
```

Density functional theory data (PBE-GGA) for a relaxed structure of Ac2DyTmBi4.

Geometry as CIF:
```
data_Ac2DyTmBi4
_chemical_formula_sum 'Ac2 Dy1 Tm1 Bi4'
_symmetry_space_group_name_H-M 'P 1 2/m 1'
_symmetry_Int_Tables_number 10
_cell_length_a 8.0707
_cell_length_b 4.6764
_cell_length_c 8.0942
_cell_angle_alpha 90.00
_cell_angle_beta 109.53
_cell_angle_gamma 90.00
loop_
_symmetry_equiv_pos_as_xyz
'x,y,z'
'-x,-y,-z'
'-x,y,-z'
'x,-y,z'
loop_
_atom_site_label
_atom_site_type_symbol
_atom_site_fract_x
_atom_site_fract_y
_atom_site_fract_z
_atom_site_occupancy
Ac1 Ac 0.0000 0.0000 0.0000 1
Ac2 Ac 0.0000 0.5000 0.5000 1
Dy1 Dy 0.5000 0.0000 0.5000 1
Tm1 Tm 0.5000 0.5000 0.0000 1
Bi1 Bi 0.2743 0.5000 0.2567 1
Bi2 Bi 0.2754 0.0000 0.7599 1
```

Density functional theory data (PBE-GGA) for a relaxed structure of AcDyZnBi.

Geometry as CIF:
```
data_AcDyZnBi
_chemical_formula_sum 'Ac4 Dy4 Zn4 Bi4'
_symmetry_space_group_name_H-M 'F -4 3 m'
_symmetry_Int_Tables_number 216
_symmetry_space_group_name_Hall 'F -4 2 3'
_cell_length_a 7.8332
_cell_length_b 7.8332
_cell_length_c 7.8332
_cell_angle_alpha 90.00
_cell_angle_beta 90.00
_cell_angle_gamma 90.00
loop_
_atom_site_label
_atom_site_type_symbol
_atom_site_fract_x
_atom_site_fract_y
_atom_site_fract_z
_atom_site_occupancy
Ac1 Ac 0.0000 0.0000 0.0000 1
Dy1 Dy 0.0000 0.0000 0.5000 1
Zn1 Zn 0.2500 0.2500 0.2500 1
Bi1 Bi 0.2500 0.2500 0.7500 1
```

Density functional theory data (PBE-GGA) for a relaxed structure of Ac3ErBi4.

Geometry as CIF:
```
data_Ac3ErBi4
_chemical_formula_sum 'Ac6 Er2 Bi8'
_symmetry_space_group_name_H-M 'C m m m'
_symmetry_Int_Tables_number 65
_symmetry_space_group_name_Hall '-C 2 2'
_cell_length_a 9.5527
_cell_length_b 13.5075
_cell_length_c 4.7860
_cell_angle_alpha 90.00
_cell_angle_beta 90.00
_cell_angle_gamma 90.00
loop_
_atom_site_label
_atom_site_type_symbol
_atom_site_fract_x
_atom_site_fract_y
_atom_site_fract_z
_atom_site_occupancy
Ac1 Ac 0.0000 0.0000 0.0000 1
Ac2 Ac 0.2500 0.2500 0.5000 1
Er1 Er 0.0000 0.5000 0.0000 1
Bi1 Bi 0.0000 0.2586 0.0000 1
Bi2 Bi 0.2334 0.5000 0.5000 1
```

Density functional theory data (PBE-GGA) for a relaxed structure of AcErBi2.

Geometry as CIF:
```
data_AcErBi2
_chemical_formula_sum 'Ac2 Er2 Bi4'
_symmetry_space_group_name_H-M 'P 63/m m c'
_symmetry_Int_Tables_number 194
_symmetry_space_group_name_Hall '-P 6c 2c'
_cell_length_a 4.6389
_cell_length_b 4.6389
_cell_length_c 15.3559
_cell_angle_alpha 90.00
_cell_angle_beta 90.00
_cell_angle_gamma 120.00
loop_
_atom_site_label
_atom_site_type_symbol
_atom_site_fract_x
_atom_site_fract_y
_atom_site_fract_z
_atom_site_occupancy
Ac1 Ac 0.3333 0.6667 0.2500 1
Er1 Er 0.0000 0.0000 0.0000 1
Bi1 Bi 0.3333 0.6667 0.6108 1
```

Density functional theory data (PBE-GGA) for a relaxed structure of AcErBi2.

Geometry as CIF:
```
data_AcErBi2
_chemical_formula_sum 'Ac3 Er3 Bi6'
_symmetry_space_group_name_H-M 'R 3 m'
_symmetry_Int_Tables_number 160
_symmetry_space_group_name_Hall 'R 3 -2"'
_cell_length_a 4.6140
_cell_length_b 4.6140
_cell_length_c 23.9596
_cell_angle_alpha 90.00
_cell_angle_beta 90.00
_cell_angle_gamma 120.00
loop_
_atom_site_label
_atom_site_type_symbol
_atom_site_fract_x
_atom_site_fract_y
_atom_site_fract_z
_atom_site_occupancy
Ac1 Ac 0.0000 0.0000 0.0000 1
Er1 Er 0.0000 0.0000 0.8297 1
Bi1 Bi 0.0000 0.0000 0.4209 1
Bi2 Bi 0.0000 0.0000 0.5749 1
```

Results for calculated total energy: -5.18; -5.19; -5.07; -5.00; -4.67; -4.56; -5.00; -5.00; -3.85; -4.98; -4.96; -4.88 (in eV per atom, following the order of the records).